Entry 1:
# CePrGdMg | Alexandria via LeMat-Bulk | GGA-PBE | relaxed
# Calculated formation energy ... 0.133 eV per atom
data_CePrGdMg
_chemical_formula_sum 'Ce4 Pr4 Gd4 Mg4'
_symmetry_space_group_name_H-M 'F -4 3 m'
_symmetry_Int_Tables_number 216
_symmetry_space_group_name_Hall 'F -4 2 3'
_cell_length_a 7.8732
_cell_length_b 7.8732
_cell_length_c 7.8732
_cell_angle_alpha 90.00
_cell_angle_beta 90.00
_cell_angle_gamma 90.00
loop_
_atom_site_label
_atom_site_fract_x
_atom_site_fract_y
_atom_site_fract_z
Ce1 0.0000 0.0000 0.0000
Pr1 0.2500 0.2500 0.7500
Gd1 0.2500 0.2500 0.2500
Mg1 0.0000 0.0000 0.5000

Entry 2:
# Th2Co4NiP3 | Alexandria via LeMat-Bulk | GGA-PBE | relaxed
# Calculated formation energy ... -0.874 eV per atom
data_Th2Co4NiP3
_chemical_formula_sum 'Th2 Co4 Ni1 P3'
_symmetry_space_group_name_H-M 'P -4 m 2'
_symmetry_Int_Tables_number 115
_cell_length_a 3.9785
_cell_length_b 3.9785
_cell_length_c 9.3534
_cell_angle_alpha 90.00
_cell_angle_beta 90.00
_cell_angle_gamma 90.00
loop_
_symmetry_equiv_pos_as_xyz
'x,y,z'
'y,-x,-z'
'-x,-y,z'
'-y,x,-z'
'-x,y,z'
'-y,-x,-z'
'x,-y,z'
'y,x,-z'
loop_
_atom_site_label
_atom_site_fract_x
_atom_site_fract_y
_atom_site_fract_z
Th1 0.0000 0.5000 0.2496
Co1 0.0000 0.0000 0.0000
Co2 0.0000 0.5000 0.6240
Co3 0.5000 0.5000 0.0000
Ni1 0.0000 0.0000 0.5000
P1 0.0000 0.5000 0.8701
P2 0.5000 0.5000 0.5000

Entry 3:
# RbNiB2 | Alexandria via LeMat-Bulk | GGA-PBE | relaxed
# Calculated formation energy ... 0.561 eV per atom
# Offset from the most stable computed form ... 0.0 meV per atom
data_RbNiB2
_chemical_formula_sum 'Rb4 Ni4 B8'
_symmetry_space_group_name_H-M 'I 41/a m d'
_symmetry_Int_Tables_number 141
_cell_length_a 6.0277
_cell_length_b 6.0277
_cell_length_c 8.5448
_cell_angle_alpha 90.00
_cell_angle_beta 90.00
_cell_angle_gamma 90.00
loop_
_symmetry_equiv_pos_as_xyz
'x,y,z'
'-x,-y,-z'
'-y+1/4,x+3/4,z+1/4'
'y+1/4,-x+3/4,-z+1/4'
'-x+1/2,-y,z+1/2'
'x+1/2,y,-z+1/2'
'y+1/4,-x+1/4,z+3/4'
'-y+1/4,x+1/4,-z+3/4'
'x,-y,-z'
'-x,y,z'
'-y+1/4,-x+1/4,-z+3/4'
'y+1/4,x+1/4,z+3/4'
'-x+1/2,y,-z+1/2'
'x+1/2,-y,z+1/2'
'y+1/4,x+3/4,-z+1/4'
'-y+1/4,-x+3/4,z+1/4'
'x+1/2,y+1/2,z+1/2'
'-x+1/2,-y+1/2,-z+1/2'
'-y+3/4,x+1/4,z+3/4'
'y+3/4,-x+1/4,-z+3/4'
'-x,-y+1/2,z'
'x,y+1/2,-z'
'y+3/4,-x+3/4,z+1/4'
'-y+3/4,x+3/4,-z+1/4'
'x+1/2,-y+1/2,-z+1/2'
'-x+1/2,y+1/2,z+1/2'
'-y+3/4,-x+3/4,-z+1/4'
'y+3/4,x+3/4,z+1/4'
'-x,y+1/2,-z'
'x,-y+1/2,z'
'y+3/4,x+1/4,-z+3/4'
'-y+3/4,-x+1/4,z+3/4'
loop_
_atom_site_label
_atom_site_fract_x
_atom_site_fract_y
_atom_site_fract_z
Rb1 0.0000 0.2500 0.3750
Ni1 0.0000 0.2500 0.8750
B1 0.0000 0.0000 0.0000

Entry 4:
# TeCl3O | Alexandria via LeMat-Bulk | GGA-PBE | relaxed
# Formation energy from raw total energies ... 3.23 eV/f.u.
# Offset from the most stable computed form ... 1142.7 meV per atom
data_TeCl3O
_chemical_formula_sum 'Te1 Cl3 O1'
_symmetry_space_group_name_H-M 'P m -3 m'
_symmetry_Int_Tables_number 221
_symmetry_space_group_name_Hall '-P 4 2 3'
_cell_length_a 4.5925
_cell_length_b 4.5925
_cell_length_c 4.5925
_cell_angle_alpha 90.00
_cell_angle_beta 90.00
_cell_angle_gamma 90.00
loop_
_atom_site_label
_atom_site_fract_x
_atom_site_fract_y
_atom_site_fract_z
Te1 0.0000 0.0000 0.0000
Cl1 0.0000 0.5000 0.5000
O1 0.5000 0.5000 0.5000

Entry 5:
# Ce2SmTa | Alexandria via LeMat-Bulk | GGA-PBE | relaxed
# Calculated formation energy ... 0.506 eV per atom
data_Ce2SmTa
_chemical_formula_sum 'Ce6 Sm3 Ta3'
_symmetry_space_group_name_H-M 'R -3 m'
_symmetry_Int_Tables_number 166
_symmetry_space_group_name_Hall '-R 3 2"'
_cell_length_a 3.1394
_cell_length_b 3.1394
_cell_length_c 35.9813
_cell_angle_alpha 90.00
_cell_angle_beta 90.00
_cell_angle_gamma 120.00
loop_
_atom_site_label
_atom_site_fract_x
_atom_site_fract_y
_atom_site_fract_z
Ce1 0.0000 0.0000 0.0787
Sm1 0.0000 0.0000 0.5000
Ta1 0.0000 0.0000 0.0000

Entry 6:
# Re2TcSe | Alexandria via LeMat-Bulk | GGA-PBE | relaxed
# Formation energy from raw total energies ... 1.26 eV/f.u.
data_Re2TcSe
_chemical_formula_sum 'Re6 Tc3 Se3'
_symmetry_space_group_name_H-M 'R -3 m'
_symmetry_Int_Tables_number 166
_symmetry_space_group_name_Hall '-R 3 2"'
_cell_length_a 2.8711
_cell_length_b 2.8711
_cell_length_c 25.4363
_cell_angle_alpha 90.00
_cell_angle_beta 90.00
_cell_angle_gamma 120.00
loop_
_atom_site_label
_atom_site_fract_x
_atom_site_fract_y
_atom_site_fract_z
Re1 0.0000 0.0000 0.2490
Tc1 0.0000 0.0000 0.0000
Se1 0.0000 0.0000 0.5000

Entry 7:
# CePmAu | Alexandria via LeMat-Bulk | GGA-PBE | relaxed
# Calculated formation energy ... 0.307 eV per atom
# Offset from the most stable computed form ... 780.6 meV per atom
data_CePmAu
_chemical_formula_sum 'Ce2 Pm2 Au2'
_symmetry_space_group_name_H-M 'I 4 m m'
_symmetry_Int_Tables_number 107
_symmetry_space_group_name_Hall 'I 4 -2'
_cell_length_a 3.2868
_cell_length_b 3.2868
_cell_length_c 16.8736
_cell_angle_alpha 90.00
_cell_angle_beta 90.00
_cell_angle_gamma 90.00
loop_
_atom_site_label
_atom_site_fract_x
_atom_site_fract_y
_atom_site_fract_z
Ce1 0.0000 0.0000 0.0000
Pm1 0.0000 0.0000 0.6583
Au1 0.0000 0.0000 0.8299

Entry 8:
# Li2PuInAu4 | Alexandria via LeMat-Bulk | GGA-PBE | relaxed
# Calculated formation energy ... -0.404 eV per atom
data_Li2PuInAu4
_chemical_formula_sum 'Li6 Pu3 In3 Au12'
_symmetry_space_group_name_H-M 'R -3 m'
_symmetry_Int_Tables_number 166
_symmetry_space_group_name_Hall '-R 3 2"'
_cell_length_a 4.5667
_cell_length_b 4.5667
_cell_length_c 26.6983
_cell_angle_alpha 90.00
_cell_angle_beta 90.00
_cell_angle_gamma 120.00
loop_
_atom_site_label
_atom_site_fract_x
_atom_site_fract_y
_atom_site_fract_z
Li1 0.0000 0.0000 0.2373
Pu1 0.0000 0.0000 0.0000
In1 0.0000 0.0000 0.5000
Au1 0.0000 0.0000 0.1187
Au2 0.0000 0.0000 0.3930

Entry 9:
# Tb4YSc3 | Alexandria via LeMat-Bulk | GGA-PBE | relaxed
# Calculated formation energy ... 0.306 eV per atom
# Offset from the most stable computed form ... 272.8 meV per atom
data_Tb4YSc3
_chemical_formula_sum 'Tb8 Y2 Sc6'
_symmetry_space_group_name_H-M 'C 1 2/m 1'
_symmetry_Int_Tables_number 12
_cell_length_a 26.5478
_cell_length_b 3.4411
_cell_length_c 5.6346
_cell_angle_alpha 90.00
_cell_angle_beta 94.36
_cell_angle_gamma 90.00
loop_
_symmetry_equiv_pos_as_xyz
'x,y,z'
'-x,-y,-z'
'-x,y,-z'
'x,-y,z'
'x+1/2,y+1/2,z'
'-x+1/2,-y+1/2,-z'
'-x+1/2,y+1/2,-z'
'x+1/2,-y+1/2,z'
loop_
_atom_site_label
_atom_site_fract_x
_atom_site_fract_y
_atom_site_fract_z
Tb1 0.1013 0.0000 0.0287
Tb2 0.1873 0.0000 0.5647
Y1 0.0000 0.0000 0.5000
Sc1 0.0000 0.5000 0.0000
Sc2 0.2061 0.5000 0.0761

Entry 10:
# Zn2Bi2Sb | Alexandria via LeMat-Bulk | GGA-PBE | relaxed
# Formation energy from raw total energies ... 0.95 eV/f.u.
# Offset from the most stable computed form ... 15.5 meV per atom
data_Zn2Bi2Sb
_chemical_formula_sum 'Zn4 Bi4 Sb2'
_symmetry_space_group_name_H-M 'P 4/m b m'
_symmetry_Int_Tables_number 127
_symmetry_space_group_name_Hall '-P 4 2ab'
_cell_length_a 7.8959
_cell_length_b 7.8959
_cell_length_c 4.0228
_cell_angle_alpha 90.00
_cell_angle_beta 90.00
_cell_angle_gamma 90.00
loop_
_atom_site_label
_atom_site_fract_x
_atom_site_fract_y
_atom_site_fract_z
Zn1 0.1136 0.3864 0.0000
Bi1 0.1960 0.6960 0.5000
Sb1 0.0000 0.0000 0.0000

Entry 11:
# LiLaZn5Au2 | Alexandria via LeMat-Bulk | GGA-PBE | relaxed
# Calculated formation energy ... -0.146 eV per atom
data_LiLaZn5Au2
_chemical_formula_sum 'Li1 La1 Zn5 Au2'
_symmetry_space_group_name_H-M 'P 4/m m m'
_symmetry_Int_Tables_number 123
_symmetry_space_group_name_Hall '-P 4 2'
_cell_length_a 4.9086
_cell_length_b 4.9086
_cell_length_c 7.7861
_cell_angle_alpha 90.00
_cell_angle_beta 90.00
_cell_angle_gamma 90.00
loop_
_atom_site_label
_atom_site_fract_x
_atom_site_fract_y
_atom_site_fract_z
Li1 0.0000 0.0000 0.0000
La1 0.0000 0.0000 0.5000
Zn1 0.0000 0.5000 0.2389
Zn2 0.5000 0.5000 0.5000
Au1 0.5000 0.5000 0.1745

Entry 12:
# LiCeGaS4 | Alexandria via LeMat-Bulk | GGA-PBE | relaxed
# Formation energy from raw total energies ... -8.35 eV/f.u.
data_LiCeGaS4
_chemical_formula_sum 'Li4 Ce4 Ga4 S16'
_symmetry_space_group_name_H-M 'I m m a'
_symmetry_Int_Tables_number 74
_symmetry_space_group_name_Hall '-I 2b 2'
_cell_length_a 7.4816
_cell_length_b 7.9974
_cell_length_c 10.5358
_cell_angle_alpha 90.00
_cell_angle_beta 90.00
_cell_angle_gamma 90.00
loop_
_atom_site_label
_atom_site_fract_x
_atom_site_fract_y
_atom_site_fract_z
Li1 0.2500 0.2500 0.2500
Ce1 0.0000 0.0000 0.0000
Ga1 0.0000 0.2500 0.6399
S1 0.0000 0.0009 0.7464
S2 0.2467 0.2500 0.4988

For each record above, in turn, the calculated volume values are 488.0; 148.0; 310.5; 96.9; 307.1; 181.6; 182.3; 482.2; 513.3; 250.8; 187.6; 630.4 Å³/cell.
For each record above, in turn, the calculated total moment values are 39.44; 1.96; 0.00; 0.00; 0.00; 0.00; 2.48; 16.42; 0.00; 0.00; 0.00; 0.00 μB/cell.